The following is a DFT calculation (PBE-GGA) of a relaxed structure of LuTlPbS3.

Cell lengths 9.119, 9.119, 10.480 Å; angles 90.00, 90.00, 154.76 degrees
Positions (direct):
Lu (0.000, 0.000, 0.500)
S (0.969, 0.031, 0.750)
S (0.601, 0.399, 0.526)
Tl (0.311, 0.689, 0.250)
Tl (0.689, 0.311, 0.750)
Lu (0.000, 0.000, 0.000)
S (0.399, 0.601, 0.026)
S (0.031, 0.969, 0.250)
S (0.601, 0.399, 0.974)
Pb (0.366, 0.634, 0.750)
S (0.399, 0.601, 0.474)
Pb (0.634, 0.366, 0.250)

total energy	-0.359	Ry/atom
crystal system	orthorhombic


The following is a DFT calculation (PBE-GGA) of a relaxed structure of Na2PuBr6.

Cell lengths 6.890, 6.890, 12.929 Å; angles 90.00, 90.00, 90.00 degrees
Each line ends with the local moment (μB).
Positions (direct):
Br (0.195, 0.805, 0.156)  -0.07
Pu (0.500, 0.500, 0.500)  4.50
Na (0.500, 0.500, 0.834)  0.00
Br (0.695, 0.695, 0.656)  -0.07
Br (0.195, 0.805, 0.844)  -0.07
Br (0.805, 0.195, 0.844)  -0.07
Br (0.284, 0.284, 0.000)  -0.07
Pu (0.000, 0.000, 0.000)  4.49
Br (0.784, 0.216, 0.500)  -0.07
Br (0.716, 0.716, 0.000)  -0.07
Na (0.000, 0.000, 0.666)  0.00
Na (0.500, 0.500, 0.166)  0.00
Br (0.805, 0.195, 0.156)  -0.07
Br (0.305, 0.305, 0.656)  -0.07
Br (0.305, 0.305, 0.344)  -0.07
Na (0.000, 0.000, 0.334)  0.00
Br (0.216, 0.784, 0.500)  -0.07
Br (0.695, 0.695, 0.344)  -0.07

total energy	-0.324	Ry/atom
crystal system	tetragonal


The following is a DFT calculation (PBE-GGA) of a relaxed structure of ZrBe2Ir2.

Cell lengths 6.805, 6.805, 2.847 Å; angles 90.00, 90.00, 90.00 degrees
Positions (direct):
Be (0.117, 0.383, 0.000)
Ir (0.670, 0.830, 0.500)
Ir (0.830, 0.330, 0.500)
Zr (0.000, 0.000, 0.000)
Ir (0.170, 0.670, 0.500)
Be (0.883, 0.617, 0.000)
Zr (0.500, 0.500, 0.000)
Be (0.617, 0.117, 0.000)
Ir (0.330, 0.170, 0.500)
Be (0.383, 0.883, 0.000)

total energy	-0.543	Ry/atom
crystal system	tetragonal


The following is a DFT calculation (PBE-GGA) of a relaxed structure of TcW.

Cell lengths 2.801, 2.801, 4.544 Å; angles 90.00, 90.00, 120.00 degrees
Positions (direct):
W (0.333, 0.667, 0.250)
Tc (0.667, 0.333, 0.750)

relative energy among the computed polymorphs	0	meV per atom
crystal system	hexagonal
ΔH_f (0 K)	0.5	eV per formula unit


The following is a DFT calculation (PBE-GGA) of a relaxed structure of Cu2Ag3.

Cell lengths 7.056, 2.876, 7.707 Å; angles 90.00, 96.88, 90.00 degrees
Positions (direct):
Ag (0.828, 0.250, 0.525)
Cu (0.706, 0.750, 0.239)
Cu (0.294, 0.250, 0.761)
Ag (0.172, 0.750, 0.475)
Cu (0.458, 0.250, 0.363)
Cu (0.542, 0.750, 0.637)
Ag (0.985, 0.750, 0.833)
Ag (0.344, 0.750, 0.068)
Ag (0.015, 0.250, 0.167)
Ag (0.656, 0.250, 0.932)

relative energy among the computed polymorphs	41	meV per atom
crystal system	monoclinic
ΔH_f (0 K)	0.4	eV per formula unit


The following is a DFT calculation (PBE-GGA) of a relaxed structure of NdSmSc2Si2.

Cell lengths 8.457, 8.457, 8.457 Å; angles 150.72, 150.72, 41.89 degrees
Each line ends with the local moment (μB).
Positions (direct):
Sc (0.500, 0.000, 0.500)  0.22
Nd (0.677, 0.677, 0.000)  0.23
Si (0.123, 0.123, 0.000)  -0.02
Sc (0.000, 0.500, 0.500)  0.18
Si (0.877, 0.877, 0.000)  -0.02
Sm (0.324, 0.324, 0.000)  0.23

total energy	-0.450	Ry/atom
crystal system	tetragonal